NaSmBr3: optimized geometry, PBE-GGA.

## Properties
E   -3.652 eV/atom
Space-group type   Cmcm
Formation energy from raw total energies   -1.4404 eV/atom

CIF file:
```
data_NaSmBr3
_cell_length_a 6.8332
_cell_length_b 7.9357
_cell_length_c 7.9371
_cell_angle_alpha 120.07
_cell_angle_beta 89.98
_cell_angle_gamma 90.01
_space_group_name_H-M_alt 'P 1'
_space_group_IT_number 1
loop_
_space_group_symop_operation_xyz
'x,y,z'
loop_
_atom_site_label
_atom_site_type_symbol
_atom_site_fract_x
_atom_site_fract_y
_atom_site_fract_z
Na1 Na 0.7499 0.6669 0.3334
Na2 Na 0.2501 0.3331 0.6666
Sm1 Sm 0.0000 0.0000 0.0000
Sm2 Sm 0.5000 0.0000 0.0000
Br1 Br 0.7500 0.6536 0.8269
Br2 Br 0.2501 0.8270 0.6536
Br3 Br 0.2500 0.3464 0.1731
Br4 Br 0.7499 0.1730 0.3464
Br5 Br 0.2499 0.8270 0.1731
Br6 Br 0.7501 0.1730 0.8269
```

Th2ZnC2: optimized geometry, PBE-GGA.

## Properties
Energy of formation   -264 meV/atom
E   -7.177 eV/atom
Space-group type   I4/mmm

CIF file:
```
data_Th2ZnC2
_cell_length_a 3.8074
_cell_length_b 3.8074
_cell_length_c 6.9835
_cell_angle_alpha 105.82
_cell_angle_beta 105.82
_cell_angle_gamma 90.00
_space_group_name_H-M_alt 'P 1'
_space_group_IT_number 1
loop_
_space_group_symop_operation_xyz
'x,y,z'
loop_
_atom_site_label
_atom_site_type_symbol
_atom_site_fract_x
_atom_site_fract_y
_atom_site_fract_z
Th1 Th 0.6516 0.6516 0.3033
Th2 Th 0.3484 0.3484 0.6967
Zn1 Zn 0.0000 0.0000 0.0000
C1 C 0.8397 0.8397 0.6794
C2 C 0.1603 0.1603 0.3206
```

LiWCl3: optimized geometry, PBE-GGA.

## Properties
E above lowest polymorph   0.0 meV/atom
E   -4.334 eV/atom
Space-group type   Pm-3m
Formation energy from raw total energies   -0.2530 eV/atom

CIF file:
```
data_LiWCl3
_cell_length_a 4.9710
_cell_length_b 4.9710
_cell_length_c 4.9710
_cell_angle_alpha 90.00
_cell_angle_beta 90.00
_cell_angle_gamma 90.00
_space_group_name_H-M_alt 'P 1'
_space_group_IT_number 1
loop_
_space_group_symop_operation_xyz
'x,y,z'
loop_
_atom_site_label
_atom_site_type_symbol
_atom_site_fract_x
_atom_site_fract_y
_atom_site_fract_z
Li1 Li 0.5000 0.5000 0.5000
W1 W 0.0000 0.0000 0.0000
Cl1 Cl 0.0000 0.5000 0.0000
Cl2 Cl 0.0000 0.0000 0.5000
Cl3 Cl 0.5000 0.0000 0.0000
```

BaTm2F7: optimized geometry, PBE-GGA.

## Properties
E   -6.251 eV/atom
Space-group type   Cmmm
Formation energy from raw total energies   -3.8545 eV/atom

CIF file:
```
data_BaTm2F7
_cell_length_a 4.2559
_cell_length_b 6.6042
_cell_length_c 6.6042
_cell_angle_alpha 116.56
_cell_angle_beta 90.00
_cell_angle_gamma 90.00
_space_group_name_H-M_alt 'P 1'
_space_group_IT_number 1
loop_
_space_group_symop_operation_xyz
'x,y,z'
loop_
_atom_site_label
_atom_site_type_symbol
_atom_site_fract_x
_atom_site_fract_y
_atom_site_fract_z
Ba1 Ba 0.0000 0.0000 0.0000
Tm1 Tm 0.5000 0.6888 0.3112
Tm2 Tm 0.5000 0.3112 0.6888
F1 F 0.0000 0.7400 0.2600
F2 F 0.0000 0.2600 0.7400
F3 F 0.5000 0.0436 0.3298
F4 F 0.5000 0.9564 0.6702
F5 F 0.5000 0.3298 0.0436
F6 F 0.5000 0.6702 0.9564
F7 F 0.5000 0.5000 0.5000
```

Cs2NaPtBr: optimized geometry, PBE-GGA.

## Properties
E above lowest polymorph   360.6 meV/atom
E   -2.363 eV/atom
Space-group type   P4/mmm
Formation energy from raw total energies   -0.2147 eV/atom

CIF file:
```
data_Cs2NaPtBr
_cell_length_a 7.0400
_cell_length_b 5.0055
_cell_length_c 7.0400
_cell_angle_alpha 90.00
_cell_angle_beta 90.00
_cell_angle_gamma 90.00
_space_group_name_H-M_alt 'P 1'
_space_group_IT_number 1
loop_
_space_group_symop_operation_xyz
'x,y,z'
loop_
_atom_site_label
_atom_site_type_symbol
_atom_site_fract_x
_atom_site_fract_y
_atom_site_fract_z
Cs1 Cs 0.0000 0.0000 0.5000
Cs2 Cs 0.5000 0.0000 0.0000
Na1 Na 0.5000 0.5000 0.5000
Br1 Br 0.0000 0.5000 0.0000
Pt1 Pt 0.0000 0.0000 0.0000
```

| no. | volume (Å³/f.u.) |
| --- | --- |
| 1 | 186.2 |
| 2 | 93.4 |
| 3 | 122.8 |
| 4 | 166.0 |
| 5 | 248.1 |